An optimized crystal structure of CoNi2F, computed with GGA+U.

Results
Space-group type   Fm-3m (225)
Calculated density   7.03 g/cm³
Offset from the most stable computed form   549 meV/atom

a = 4.0263 Å, b = 4.0263 Å, c = 4.0263 Å
α = 60.00°, β = 60.00°, γ = 60.00°
Closest atoms and distances in Å follow each position.
Positions (direct):
Ni 0.7500 0.7500 0.7500  4 F 2.47, 4 Co 2.47
Co 0.5000 0.5000 0.5000  8 Ni 2.47
F 0.0000 0.0000 0.0000  8 Ni 2.47
Ni 0.2500 0.2500 0.2500  4 F 2.47, 4 Co 2.47